Record 1
Below is an optimized crystal structure of TaTi2MoN, with properties calculated at the PBE level.

Cell: 4.057 4.057 4.416 Å, 90.00 90.00 90.00°
Sites, in units of the cell vectors:
Ta 0.000 0.000 0.500
Ti 0.000 0.500 0.000
Mo 0.500 0.500 0.500
Ti 0.500 0.000 0.000
N 0.000 0.000 0.000

The calculation puts the formation energy from raw total energies at -0.62 eV/atom. The volume comes out at 73 Å³ per cell.


Record 2
Below is an optimized crystal structure of PaGa2Bi, with properties calculated at the PBE level.

Cell: 4.910 4.910 5.393 Å, 62.92 62.92 60.00°
Each line ends with the local moment (μB).
Sites, in units of the cell vectors:
Ga 0.252 0.252 0.243  0.01
Bi 0.000 0.000 0.000  -0.01
Pa 0.500 0.500 0.500  0.47
Ga 0.748 0.748 0.757  0.01

The value obtained for the formation energy is 0.09 eV/atom. Its distance to the lowest polymorph of the same formula is 0.3521 eV per atom. The volume comes out at 96 Å³ per cell.


Record 3
Below is an optimized crystal structure of KInPb3, with properties calculated at the PBE level.

Cell: 7.086 7.068 7.036 Å, 90.00 90.00 90.00°
Sites, in units of the cell vectors:
K 0.468 0.414 0.701
Pb 0.975 0.439 0.950
K 0.968 0.938 0.201
In 0.129 0.780 0.701
Pb 0.475 0.914 0.951
In 0.629 0.573 0.201
Pb 0.975 0.439 0.451
Pb 0.832 0.076 0.701
Pb 0.332 0.277 0.201
Pb 0.475 0.914 0.450

The value obtained for the formation energy is -0.07 eV/atom. Its distance to the lowest polymorph of the same formula is 0.0000 eV per atom. The volume comes out at 352 Å³ per cell.


Record 4
Below is an optimized crystal structure of DyY6In2, with properties calculated at the PBE level.

Cell: 3.756 6.639 11.852 Å, 74.83 80.88 73.57°
Sites, in units of the cell vectors:
Y 0.316 0.491 0.877
Y 0.017 0.308 0.659
Y 0.684 0.509 0.123
In 0.357 0.082 0.204
In 0.643 0.918 0.796
Y 0.309 0.795 0.586
Y 0.983 0.692 0.341
Y 0.691 0.205 0.414
Dy 0.000 0.000 0.000

The value obtained for the formation energy is -0.22 eV/atom. The volume comes out at 272 Å³ per cell.


Record 5
Below is an optimized crystal structure of PmPrCI, with properties calculated at the PBE level.

Cell: 3.879 3.882 8.120 Å, 90.00 103.84 119.97°
Sites, in units of the cell vectors:
C 0.308 0.552 0.875
Pm 0.085 0.941 0.041
Pr 0.520 0.158 0.693
I 0.965 0.381 0.360

The calculation puts the formation energy from raw total energies at -0.69 eV/atom. The volume comes out at 102 Å³ per cell.


Record 6
Below is an optimized crystal structure of Ca3TaIn, with properties calculated at the PBE level.

Cell: 5.743 5.743 5.743 Å, 90.00 90.00 90.00°
Sites, in units of the cell vectors:
Ta 0.500 0.500 0.500
Ca 0.000 0.500 0.000
Ca 0.500 0.000 0.000
In 0.000 0.000 0.000
Ca 0.000 0.000 0.500

The value obtained for the formation energy is 1.17 eV/atom. Its distance to the lowest polymorph of the same formula is 0.2495 eV per atom. The volume comes out at 189 Å³ per cell.


Record 7
Below is an optimized crystal structure of SiTcGeAs2, with properties calculated at the PBE level.

Cell: 4.913 4.567 4.913 Å, 90.00 90.00 90.00°
Each line ends with the local moment (μB).
Sites, in units of the cell vectors:
Tc 0.500 0.500 0.500  2.99
Ge 0.000 0.000 0.000  0.01
Si 0.000 0.500 0.000  -0.04
As 0.000 0.000 0.500  -0.10
As 0.500 0.000 0.000  -0.06

The calculation puts the formation energy from raw total energies at 1.35 eV/atom. The volume comes out at 110 Å³ per cell.


Record 8
Below is an optimized crystal structure of BeMoPt3, with properties calculated at the PBE level.

Cell: 4.812 4.812 4.812 Å, 90.00 90.00 90.00°
Sites, in units of the cell vectors:
Be 0.500 0.500 0.500
Pt 0.000 0.000 0.500
Pt 0.500 0.000 0.000
Pt 0.000 0.500 0.000
Mo 0.000 0.000 0.000

The value obtained for the formation energy is 1.47 eV/atom. Its distance to the lowest polymorph of the same formula is 1.2862 eV per atom. The volume comes out at 111 Å³ per cell.


Record 9
Below is an optimized crystal structure of SbW2Au, with properties calculated at the PBE level.

Cell: 4.984 4.984 4.877 Å, 81.65 81.65 38.36°
Sites, in units of the cell vectors:
W 0.991 0.991 0.044
Au 0.250 0.250 0.250
W 0.509 0.509 0.456
Sb 0.750 0.750 0.750

The calculation puts the formation energy from raw total energies at 0.58 eV/atom. The volume comes out at 74 Å³ per cell.


Record 10
Below is an optimized crystal structure of Ca2LaCu9, with properties calculated at the PBE level.

Cell: 5.267 5.267 16.729 Å, 90.00 90.00 120.00°
Sites, in units of the cell vectors:
Cu 0.669 0.835 0.372
Cu 0.331 0.165 0.628
Cu 0.669 0.835 0.128
Ca 0.667 0.333 0.034
Ca 0.667 0.333 0.466
Cu 0.000 0.000 0.250
Cu 0.835 0.669 0.872
La 0.333 0.667 0.750
Cu 0.835 0.165 0.872
Cu 0.835 0.669 0.628
Cu 0.835 0.165 0.628
Cu 0.165 0.835 0.372
Cu 0.333 0.667 0.250
Ca 0.333 0.667 0.534
Cu 0.000 0.000 0.750
Cu 0.165 0.331 0.372
Cu 0.000 0.000 0.000
Ca 0.333 0.667 0.966
Cu 0.667 0.333 0.750
Cu 0.000 0.000 0.500
La 0.667 0.333 0.250
Cu 0.331 0.165 0.872
Cu 0.165 0.331 0.128
Cu 0.165 0.835 0.128

The value obtained for the formation energy is -0.13 eV/atom. Its distance to the lowest polymorph of the same formula is 0.0030 eV per atom. The volume comes out at 402 Å³ per cell.


Record 11
Below is an optimized crystal structure of TmZnSb2, with properties calculated at the PBE level.

Cell: 5.012 6.277 12.275 Å, 90.00 90.00 90.00°
Sites, in units of the cell vectors:
Sb 0.750 0.122 0.187
Zn 0.250 0.082 0.307
Tm 0.750 0.146 0.910
Zn 0.750 0.582 0.193
Sb 0.750 0.851 0.469
Sb 0.750 0.649 0.969
Tm 0.750 0.354 0.410
Sb 0.250 0.351 0.031
Zn 0.250 0.418 0.807
Sb 0.750 0.378 0.687
Sb 0.250 0.149 0.531
Sb 0.250 0.622 0.313
Tm 0.250 0.646 0.590
Zn 0.750 0.918 0.693
Tm 0.250 0.854 0.090
Sb 0.250 0.878 0.813

The calculation puts the formation energy from raw total energies at -0.41 eV/atom. The volume comes out at 386 Å³ per cell.


Record 12
Below is an optimized crystal structure of Mg2CuPd4, with properties calculated at the PBE level.

Cell: 5.311 5.311 5.311 Å, 104.22 112.16 112.16°
Sites, in units of the cell vectors:
Pd 0.000 0.000 0.500
Pd 0.500 0.500 0.500
Cu 0.000 0.000 0.000
Mg 0.500 0.000 0.500
Pd 0.000 0.500 0.000
Pd 0.500 0.000 0.000
Mg 0.500 0.500 0.000

The value obtained for the formation energy is -0.36 eV/atom. Its distance to the lowest polymorph of the same formula is 0.0000 eV per atom. The volume comes out at 115 Å³ per cell.


Record 13
Below is an optimized crystal structure of TePdOF2, with properties calculated at the PBE level.

Cell: 4.494 4.494 4.099 Å, 90.00 90.00 90.00°
Sites, in units of the cell vectors:
F 0.000 0.500 0.000
Te 0.000 0.000 0.000
Pd 0.500 0.500 0.500
O 0.000 0.000 0.500
F 0.500 0.000 0.000

The calculation puts the formation energy from raw total energies at -0.64 eV/atom. Its distance to the lowest polymorph of the same formula is 0.0000 eV per atom. The volume comes out at 83 Å³ per cell.


Record 14
Below is an optimized crystal structure of Zr2AlBi2, with properties calculated at the PBE level.

Cell: 7.775 7.775 4.108 Å, 90.00 90.00 90.00°
Sites, in units of the cell vectors:
Zr 0.650 0.150 0.000
Zr 0.850 0.650 0.000
Al 0.500 0.500 0.000
Zr 0.350 0.850 0.000
Al 0.000 0.000 0.000
Bi 0.846 0.346 0.500
Bi 0.654 0.846 0.500
Bi 0.154 0.654 0.500
Bi 0.346 0.154 0.500
Zr 0.150 0.350 0.000

The value obtained for the formation energy is -0.17 eV/atom. Its distance to the lowest polymorph of the same formula is 0.0000 eV per atom. The volume comes out at 248 Å³ per cell.


Record 15
Below is an optimized crystal structure of NdErTh2Bi4, with properties calculated at the PBE level.

Cell: 4.574 7.919 7.879 Å, 109.66 90.00 90.00°
Sites, in units of the cell vectors:
Nd 0.000 0.000 0.000
Bi 0.500 0.253 0.246
Bi 0.000 0.743 0.242
Th 0.500 0.000 0.500
Bi 0.000 0.257 0.758
Bi 0.500 0.747 0.754
Th 0.000 0.500 0.500
Er 0.500 0.500 0.000

The value obtained for the formation energy is -0.72 eV/atom. The volume comes out at 269 Å³ per cell.


Record 16
Below is an optimized crystal structure of Mg14CdBi, with properties calculated at the PBE level.

Cell: 6.431 6.431 10.297 Å, 90.00 90.00 118.73°
Sites, in units of the cell vectors:
Cd 0.832 0.168 0.500
Mg 0.160 0.327 0.251
Mg 0.337 0.663 0.000
Mg 0.836 0.164 0.000
Mg 0.665 0.335 0.254
Bi 0.334 0.666 0.500
Mg 0.833 0.662 0.000
Mg 0.837 0.668 0.500
Mg 0.338 0.167 0.000
Mg 0.673 0.840 0.749
Mg 0.673 0.840 0.251
Mg 0.163 0.837 0.754
Mg 0.665 0.335 0.746
Mg 0.160 0.327 0.749
Mg 0.163 0.837 0.246
Mg 0.332 0.163 0.500

The value obtained for the formation energy is -0.02 eV/atom. Its distance to the lowest polymorph of the same formula is 0.0100 eV per atom. The volume comes out at 373 Å³ per cell.


Record 17
Below is an optimized crystal structure of ReTeAs, with properties calculated at the PBE level.

Cell: 4.415 5.518 6.666 Å, 108.61 97.45 98.57°
Sites, in units of the cell vectors:
As 0.511 0.303 0.198
Re 0.434 0.260 0.534
Re 0.566 0.740 0.466
Te 0.059 0.807 0.256
As 0.489 0.697 0.802
Te 0.941 0.193 0.744

The calculation puts the formation energy from raw total energies at 0.27 eV/atom. Its distance to the lowest polymorph of the same formula is 0.0364 eV per atom. The volume comes out at 149 Å³ per cell.


Record 18
Below is an optimized crystal structure of Tm5CuPb4, with properties calculated at the PBE level.

Cell: 6.204 7.469 7.469 Å, 80.07 65.46 65.46°
Sites, in units of the cell vectors:
Tm 0.687 0.196 0.382
Tm 0.069 0.618 0.196
Cu 0.109 0.000 0.000
Pb 0.378 0.385 0.801
Tm 0.618 0.000 0.000
Pb 0.563 0.615 0.199
Tm 0.264 0.804 0.618
Pb 0.762 0.801 0.615
Tm 0.882 0.382 0.804
Pb 0.178 0.199 0.385

The value obtained for the formation energy is -0.19 eV/atom. The volume comes out at 286 Å³ per cell.


Record 19
Below is an optimized crystal structure of TaCdSCl2, with properties calculated at the PBE level.

Cell: 4.923 4.923 5.256 Å, 90.00 90.00 90.00°
Each line ends with the local moment (μB).
Sites, in units of the cell vectors:
Ta 0.500 0.500 0.500  2.16
S 0.000 0.000 0.500  -0.14
Cl 0.000 0.500 0.000  -0.01
Cd 0.000 0.000 0.000  0.01
Cl 0.500 0.000 0.000  -0.01

The calculation puts the formation energy from raw total energies at 0.67 eV/atom. Its distance to the lowest polymorph of the same formula is 1.1334 eV per atom. The volume comes out at 127 Å³ per cell.


Record 20
Below is an optimized crystal structure of La3DySc3Se8, with properties calculated at the PBE level.

Cell: 8.056 8.057 8.264 Å, 119.18 90.00 120.00°
Sites, in units of the cell vectors:
Se 0.739 0.479 0.718
Se 0.251 0.978 0.729
Se 0.273 0.022 0.271
Se 0.261 0.521 0.282
La 0.000 0.500 0.000
Sc 0.500 0.500 0.500
Dy 0.000 0.000 0.500
Se 0.749 0.022 0.271
Se 0.251 0.502 0.729
La 0.000 0.000 0.000
La 0.500 0.500 0.000
Sc 0.500 0.000 0.500
Sc 0.000 0.500 0.500
Se 0.749 0.498 0.271
Se 0.727 0.978 0.729

The calculation puts the formation energy from raw total energies at -1.83 eV/atom. The volume comes out at 384 Å³ per cell.